Here is an optimized crystal structure of TlSnAu2 from Alexandria via LeMat-Bulk. Energies are from PBE.

The space group is I-42d (No. 122) and the conventional cell measures 7.691, 7.691 and 6.791 Å, with angles of 90.00, 90.00 and 90.00 degrees. The inequivalent atoms are Tl at (0.000, 0.000, 0.000), Sn at (0.000, 0.000, 0.500) and Au at (0.235, 0.250, 0.625).

The calculated volume is 25.11 A^3/atom. The value obtained for the total magnetization is 0.00 μB/cell. The calculated formation energy comes out at 29 meV per atom. For the density of states at the Fermi level, the calculation gives 0.366 states/eV/atom.

Here is an optimized crystal structure of Mn3ZnCd from Alexandria via LeMat-Bulk. Energies are from PBE.

The space group is Pm-3m (No. 221) and the conventional cell measures 4.630, 4.630 and 4.630 Å, with angles of 90.00, 90.00 and 90.00 degrees. The inequivalent atoms are Mn at (0.000, 0.000, 0.500), Zn at (0.000, 0.000, 0.000) and Cd at (0.500, 0.500, 0.500).

The calculated volume is 19.85 A^3/atom. The value obtained for the energy above the lowest structure with this stoichiometry is 0.000 eV per atom. The value obtained for the total magnetization is 11.21 μB/cell. The calculated formation energy comes out at 857 meV per atom. For the density of states at the Fermi level, the calculation gives 1.350 states/eV/atom.

Here is an optimized crystal structure of NpSiH2O6 from Alexandria via LeMat-Bulk. Energies are from PBE.

The space group is P-1 (No. 2) and the conventional cell measures 4.967, 5.041 and 5.324 Å, with angles of 62.26, 89.96 and 64.81 degrees. The inequivalent atoms are Np at (0.000, 0.000, 0.000), Si at (0.500, 0.000, 0.500), H at (0.397, 0.542, 0.701), O at (0.175, 0.098, 0.264), O at (0.261, 0.109, 0.732) and O at (0.417, 0.439, 0.281).

As for the calculated total energy: -7.57 eV/atom. The calculated volume is 10.35 A^3/atom. The value obtained for the total magnetization is 1.00 μB/cell. For the density of states at the Fermi level, the calculation gives 0.038 states/eV/atom.